[1]
Crystalline Rb3Dy3InSe8 at its relaxed geometry, computed with PBE-GGA.

Calculated values
SG: C2/m
Crystal system: monoclinic
Calculated density (g/cm³): 5.06
Energy (eV per atom): -4.5702
Calculated volume (A^3/atom): 32.6

Cell lengths 8.2748, 8.2846, 9.5299 Å; angles 115.82, 90.00, 119.96 degrees
Fractional coordinates of all 15 atoms:
Rb: 0.0000 0.0000 0.0000
Rb: 0.0000 0.5000 0.0000
Rb: 0.5000 0.5000 0.0000
Dy: 0.5000 0.0000 0.5000
Dy: 0.5000 0.5000 0.5000
Dy: 0.0000 0.5000 0.5000
In: 0.0000 0.0000 0.5000
Se: 0.2680 0.5360 0.3041
Se: 0.7320 0.4640 0.6959
Se: 0.7711 0.5421 0.3076
Se: 0.2289 0.4579 0.6924
Se: 0.7710 0.0366 0.3075
Se: 0.2290 0.9634 0.6925
Se: 0.2656 0.0366 0.3075
Se: 0.7344 0.9634 0.6925



[2]
Crystalline Sm6DyTm5 at its relaxed geometry, computed with PBE-GGA.

Calculated values
Energy relative to the elements (eV per atom): 0.02
SG: Immm
Crystal system: orthorhombic
Calculated density (g/cm³): 8.28
Energy (eV per atom): -4.5870
Calculated volume (A^3/atom): 31.9

Cell lengths 5.0536, 9.9965, 9.4249 Å; angles 122.03, 105.56, 90.00 degrees
Fractional coordinates of all 12 atoms:
Tm: 0.6668 0.1668 0.3336
Tm: 0.3332 0.3331 0.6663
Tm: 0.0000 0.5000 0.0000
Tm: 0.6668 0.6669 0.3337
Tm: 0.3332 0.8332 0.6664
Sm: 0.8333 0.5828 0.6665
Sm: 0.8333 0.0838 0.6665
Sm: 0.5000 0.7491 0.0000
Sm: 0.5000 0.2509 0.0000
Sm: 0.1667 0.9162 0.3335
Sm: 0.1667 0.4172 0.3335
Dy: 0.0000 0.0000 0.0000



[3]
Crystalline KBeCu2 at its relaxed geometry, computed with PBE-GGA.

Calculated values
Energy relative to the elements (eV per atom): 0.20
SG: R-3m
Crystal system: trigonal
Calculated density (g/cm³): 3.46
Energy (eV per atom): -3.0585
Calculated volume (A^3/atom): 21.0

Cell lengths 6.3920, 6.3920, 6.3920 Å; angles 36.83, 36.83, 36.83 degrees
Fractional coordinates of all 4 atoms:
Be: 0.7500 0.7500 0.7500
K: 0.2500 0.2500 0.2500
Cu: 0.0711 0.0711 0.0711
Cu: 0.4289 0.4289 0.4289



[4]
Crystalline Ti3V2Ge3 at its relaxed geometry, computed with PBE-GGA.

Calculated values
Energy relative to the elements (eV per atom): -0.61
SG: P6_3/mcm
Crystal system: hexagonal
Calculated density (g/cm³): 6.32
Energy (eV per atom): -7.5858
Calculated volume (A^3/atom): 15.2

Cell lengths 5.0479, 7.4622, 7.4622 Å; angles 120.00, 90.00, 90.00 degrees
Fractional coordinates of all 16 atoms:
Ti: 0.7500 0.2480 0.0000
Ti: 0.7500 0.7520 0.7520
Ti: 0.7500 0.0000 0.2480
Ti: 0.2500 0.7520 0.0000
Ti: 0.2500 0.2480 0.2480
Ti: 0.2500 0.0000 0.7520
V: 0.0000 0.3333 0.6667
V: 0.5000 0.6667 0.3333
V: 0.0000 0.6667 0.3333
V: 0.5000 0.3333 0.6667
Ge: 0.7500 0.6057 0.0000
Ge: 0.7500 0.3943 0.3943
Ge: 0.7500 0.0000 0.6057
Ge: 0.2500 0.3943 0.0000
Ge: 0.2500 0.6057 0.6057
Ge: 0.2500 0.0000 0.3943



[5]
Crystalline Hg5Rh3S12 at its relaxed geometry, computed with PBE-GGA.

Calculated values
SG: Ia-3d
Crystal system: cubic
Calculated density (g/cm³): 4.33
Energy (eV per atom): -3.5595
Calculated volume (A^3/atom): 32.5

Cell lengths 15.0035, 15.0035, 15.0035 Å; angles 109.47, 109.47, 109.47 degrees
Fractional coordinates of all 80 atoms:
Rh: 0.7500 0.3750 0.1250
Rh: 0.8750 0.7500 0.1250
Rh: 0.3750 0.7500 0.6250
Rh: 0.2500 0.1250 0.3750
Rh: 0.8750 0.1250 0.2500
Rh: 0.3750 0.6250 0.2500
Rh: 0.6250 0.3750 0.7500
Rh: 0.1250 0.8750 0.7500
Rh: 0.7500 0.8750 0.6250
Rh: 0.6250 0.2500 0.3750
Rh: 0.1250 0.2500 0.8750
Rh: 0.2500 0.6250 0.8750
Hg: 0.1250 0.3750 0.2500
Hg: 0.0000 0.5000 0.0000
Hg: 0.0000 0.0000 0.0000
Hg: 0.3750 0.2500 0.1250
Hg: 0.5000 0.0000 0.5000
Hg: 0.5000 0.5000 0.0000
Hg: 0.1250 0.7500 0.3750
Hg: 0.7500 0.1250 0.8750
Hg: 0.7500 0.6250 0.3750
Hg: 0.3750 0.1250 0.7500
Hg: 0.6250 0.8750 0.2500
Hg: 0.5000 0.5000 0.5000
Hg: 0.5000 0.0000 0.0000
Hg: 0.0000 0.0000 0.5000
Hg: 0.2500 0.3750 0.6250
Hg: 0.2500 0.8750 0.1250
Hg: 0.0000 0.5000 0.5000
Hg: 0.8750 0.2500 0.6250
Hg: 0.6250 0.7500 0.8750
Hg: 0.8750 0.6250 0.7500
S: 0.7642 0.2220 0.0985
S: 0.3344 0.5985 0.3765
S: 0.9015 0.2780 0.2358
S: 0.5985 0.2642 0.2220
S: 0.5421 0.7642 0.6656
S: 0.9015 0.6235 0.1656
S: 0.3344 0.7358 0.4579
S: 0.1235 0.9579 0.2220
S: 0.6235 0.9015 0.6656
S: 0.7642 0.5421 0.1656
S: 0.7358 0.4015 0.2780
S: 0.8344 0.8765 0.0985
S: 0.2220 0.7642 0.5985
S: 0.2780 0.3765 0.0421
S: 0.0421 0.8765 0.2780
S: 0.4579 0.2220 0.6235
S: 0.0421 0.1656 0.2642
S: 0.4015 0.6656 0.1235
S: 0.8344 0.9579 0.2358
S: 0.2220 0.4579 0.1235
S: 0.2780 0.9015 0.7358
S: 0.6235 0.7220 0.4579
S: 0.8765 0.8344 0.5985
S: 0.7358 0.3344 0.9579
S: 0.3765 0.2780 0.5421
S: 0.1235 0.1656 0.4015
S: 0.2642 0.6656 0.0421
S: 0.1656 0.0421 0.7642
S: 0.7220 0.0985 0.2642
S: 0.7780 0.5421 0.8765
S: 0.5985 0.3344 0.8765
S: 0.5421 0.7780 0.3765
S: 0.9579 0.8344 0.7358
S: 0.9579 0.1235 0.7220
S: 0.7780 0.2358 0.4015
S: 0.1656 0.1235 0.9015
S: 0.7220 0.6235 0.9579
S: 0.3765 0.0985 0.3344
S: 0.2358 0.4579 0.8344
S: 0.2642 0.5985 0.7220
S: 0.8765 0.0421 0.7780
S: 0.6656 0.2642 0.5421
S: 0.4015 0.7358 0.7780
S: 0.0985 0.3765 0.8344
S: 0.4579 0.2358 0.3344
S: 0.0985 0.7220 0.7642
S: 0.6656 0.4015 0.6235
S: 0.2358 0.7780 0.9015



[6]
Crystalline MgTlRu at its relaxed geometry, computed with PBE-GGA.

Calculated values
Energy relative to the elements (eV per atom): 0.33
SG: P3m1
Crystal system: trigonal
Calculated density (g/cm³): 9.82
Energy above the most stable polymorph in this dataset (meV per atom): 119
Energy (eV per atom): -4.0848
Calculated volume (A^3/atom): 18.6

Cell lengths 4.6045, 4.6045, 3.0372 Å; angles 90.00, 90.00, 120.00 degrees
Last column: magnetic moment on the atom in μB.
Fractional coordinates of all 3 atoms:
Mg: 0.0000 0.0000 0.0096  -0.01
Ru: 0.6667 0.3333 0.3436  0.64
Tl: 0.3333 0.6667 0.6468  -0.01



[7]
Crystalline HgGeAs2 at its relaxed geometry, computed with PBE-GGA.

Calculated values
Energy relative to the elements (eV per atom): 0.41
SG: Fm-3m
Crystal system: cubic
Calculated density (g/cm³): 8.35
Energy (eV per atom): -3.1455
Calculated volume (A^3/atom): 21.0

Cell lengths 4.9182, 4.9182, 4.9182 Å; angles 60.00, 60.00, 60.00 degrees
Fractional coordinates of all 4 atoms:
As: 0.2500 0.2500 0.2500
As: 0.7500 0.7500 0.7500
Ge: 0.0000 0.0000 0.0000
Hg: 0.5000 0.5000 0.5000



[8]
Crystalline Pm2Pd2Pt15 at its relaxed geometry, computed with PBE-GGA.

Calculated values
Energy relative to the elements (eV per atom): -0.44
SG: R-3m
Crystal system: trigonal
Calculated density (g/cm³): 17.03
Energy (eV per atom): -6.2595
Calculated volume (A^3/atom): 17.6

Cell lengths 6.9821, 6.9821, 6.9821 Å; angles 83.58, 83.58, 83.58 degrees
Fractional coordinates of all 19 atoms:
Pm: 0.3368 0.3368 0.3368
Pm: 0.6632 0.6632 0.6632
Pd: 0.1043 0.1043 0.1043
Pd: 0.8957 0.8957 0.8957
Pt: 0.5000 0.0000 0.0000
Pt: 0.0000 0.0000 0.5000
Pt: 0.0000 0.5000 0.0000
Pt: 0.0000 0.6892 0.3108
Pt: 0.6892 0.3108 0.0000
Pt: 0.3108 0.0000 0.6892
Pt: 0.3108 0.6892 0.0000
Pt: 0.6892 0.0000 0.3108
Pt: 0.0000 0.3108 0.6892
Pt: 0.1623 0.6544 0.6544
Pt: 0.6544 0.6544 0.1623
Pt: 0.6544 0.1623 0.6544
Pt: 0.8377 0.3456 0.3456
Pt: 0.3456 0.3456 0.8377
Pt: 0.3456 0.8377 0.3456



[9]
Crystalline CaBe2Co2 at its relaxed geometry, computed with PBE-GGA.

Calculated values
Energy relative to the elements (eV per atom): 0.14
SG: P4/mbm
Crystal system: tetragonal
Calculated density (g/cm³): 4.80
Energy above the most stable polymorph in this dataset (meV per atom): 23
Energy (eV per atom): -4.5892
Calculated volume (A^3/atom): 12.2

Cell lengths 6.6944, 6.6944, 2.7140 Å; angles 90.00, 90.00, 90.00 degrees
Last column: magnetic moment on the atom in μB.
Fractional coordinates of all 10 atoms:
Be: 0.3827 0.8827 0.0000  -0.01
Be: 0.8827 0.6173 0.0000  -0.01
Be: 0.6173 0.1173 0.0000  -0.01
Be: 0.1173 0.3827 0.0000  -0.01
Ca: 0.0000 0.0000 0.0000  -0.01
Ca: 0.5000 0.5000 0.0000  -0.01
Co: 0.1542 0.6542 0.5000  0.17
Co: 0.6542 0.8458 0.5000  0.16
Co: 0.8458 0.3458 0.5000  0.17
Co: 0.3458 0.1542 0.5000  0.16



[10]
Crystalline Mg3PtAu2 at its relaxed geometry, computed with PBE-GGA.

Calculated values
Energy relative to the elements (eV per atom): -0.69
SG: P4/mmm
Crystal system: tetragonal
Calculated density (g/cm³): 10.59
Energy (eV per atom): -3.5866
Calculated volume (A^3/atom): 17.3

Cell lengths 3.2232, 3.2232, 9.9864 Å; angles 90.00, 90.00, 90.00 degrees
Fractional coordinates of all 6 atoms:
Mg: 0.0000 0.0000 0.0000
Mg: 0.0000 0.0000 0.6551
Mg: 0.0000 0.0000 0.3449
Pt: 0.5000 0.5000 0.5000
Au: 0.5000 0.5000 0.8271
Au: 0.5000 0.5000 0.1729



[11]
Crystalline Ba3ZnIr at its relaxed geometry, computed with PBE-GGA.

Calculated values
Energy relative to the elements (eV per atom): -0.15
SG: P2_1/m
Crystal system: monoclinic
Calculated density (g/cm³): 5.47
Energy above the most stable polymorph in this dataset (meV per atom): 0
Energy (eV per atom): -3.3329
Calculated volume (A^3/atom): 40.7

Cell lengths 4.3793, 7.7712, 11.9482 Å; angles 89.67, 90.00, 90.00 degrees
Fractional coordinates of all 10 atoms:
Ba: 0.2500 0.7459 0.5728
Ba: 0.2500 0.1735 0.7507
Ba: 0.2500 0.7434 0.9250
Ba: 0.7500 0.2541 0.4272
Ba: 0.7500 0.2566 0.0750
Ba: 0.7500 0.8265 0.2493
Zn: 0.7500 0.5349 0.7493
Zn: 0.2500 0.4651 0.2507
Ir: 0.2500 0.1428 0.2518
Ir: 0.7500 0.8572 0.7482



[12]
Crystalline TbSm2Cr2C4 at its relaxed geometry, computed with PBE-GGA.

Calculated values
Energy relative to the elements (eV per atom): -0.10
SG: C2/m
Crystal system: monoclinic
Calculated density (g/cm³): 7.73
Energy (eV per atom): -7.8980
Calculated volume (A^3/atom): 14.6

Cell lengths 3.4695, 6.8835, 6.0149 Å; angles 108.34, 90.00, 104.60 degrees
Fractional coordinates of all 9 atoms:
Tb: 0.0000 0.0000 0.0000
Sm: 0.8655 0.7310 0.4572
Sm: 0.1345 0.2690 0.5428
Cr: 0.3190 0.6380 0.0015
Cr: 0.6810 0.3620 0.9985
C: 0.7856 0.5713 0.8250
C: 0.2144 0.4287 0.1750
C: 0.4476 0.8952 0.2352
C: 0.5524 0.1048 0.7648



[13]
Crystalline VGeAsBr at its relaxed geometry, computed with PBE-GGA.

Calculated values
SG: Cm
Crystal system: monoclinic
Calculated density (g/cm³): 4.51
Energy above the most stable polymorph in this dataset (meV per atom): 123
Energy (eV per atom): -5.0907
Calculated volume (A^3/atom): 25.6

Cell lengths 3.7092, 3.5942, 15.7913 Å; angles 90.00, 103.13, 90.00 degrees
Last column: magnetic moment on the atom in μB.
Fractional coordinates of all 8 atoms:
As: 0.9927 0.0000 0.0838  -0.05
As: 0.9927 0.5000 0.5838  -0.05
Ge: 0.4365 0.0000 0.5260  -0.03
Ge: 0.4365 0.5000 0.0260  -0.03
Br: 0.7041 0.0000 0.8021  -0.01
Br: 0.7041 0.5000 0.3021  -0.01
V: 0.5951 0.0000 0.1896  1.99
V: 0.5951 0.5000 0.6896  1.99



[14]
Crystalline K3SrC at its relaxed geometry, computed with PBE-GGA.

Calculated values
Energy relative to the elements (eV per atom): 1.99
SG: Pm-3m
Crystal system: cubic
Calculated density (g/cm³): 0.78
Energy above the most stable polymorph in this dataset (meV per atom): 1023
Energy (eV per atom): -0.8483
Calculated volume (A^3/atom): 92.2

Cell lengths 7.7258, 7.7258, 7.7258 Å; angles 90.00, 90.00, 90.00 degrees
Fractional coordinates of all 5 atoms:
Sr: 0.0000 0.0000 0.0000
K: 0.0000 0.5000 0.0000
K: 0.0000 0.0000 0.5000
K: 0.5000 0.0000 0.0000
C: 0.5000 0.5000 0.5000



[15]
Crystalline CsZrPb2N at its relaxed geometry, computed with PBE-GGA.

Calculated values
SG: P4/mmm
Crystal system: tetragonal
Calculated density (g/cm³): 6.98
Energy (eV per atom): -4.7317
Calculated volume (A^3/atom): 31.0

Cell lengths 6.0970, 4.1741, 6.0970 Å; angles 90.00, 90.00, 90.00 degrees
Fractional coordinates of all 5 atoms:
Pb: 0.0000 0.0000 0.5000
Pb: 0.5000 0.0000 0.0000
Cs: 0.5000 0.5000 0.5000
Zr: 0.0000 0.5000 0.0000
N: 0.0000 0.0000 0.0000



[16]
Crystalline BaReP2 at its relaxed geometry, computed with PBE-GGA.

Calculated values
Energy relative to the elements (eV per atom): -0.36
SG: C2/m
Crystal system: monoclinic
Calculated density (g/cm³): 7.69
Energy (eV per atom): -6.6617
Calculated volume (A^3/atom): 20.8

Cell lengths 4.1358, 4.1358, 6.6628 Å; angles 77.38, 77.38, 48.76 degrees
Fractional coordinates of all 4 atoms:
Ba: 0.2500 0.2500 0.2500
P: 0.0208 0.0208 0.9006
P: 0.4792 0.4792 0.5994
Re: 0.7500 0.7500 0.7500



[17]
Crystalline Pm2Pr5Th at its relaxed geometry, computed with PBE-GGA.

Calculated values
Energy relative to the elements (eV per atom): 0.03
SG: Pbam
Crystal system: orthorhombic
Calculated density (g/cm³): 7.22
Energy (eV per atom): -5.0690
Calculated volume (A^3/atom): 35.3

Cell lengths 5.2281, 7.3454, 14.6980 Å; angles 90.00, 90.00, 90.00 degrees
Fractional coordinates of all 16 atoms:
Pm: 0.5000 0.2408 0.6213
Pm: 0.5000 0.7592 0.3787
Pm: 0.5000 0.2592 0.1213
Pm: 0.5000 0.7408 0.8787
Pr: 0.0000 0.0000 0.0000
Pr: 0.0000 0.5000 0.5000
Pr: 0.0000 0.4965 0.7521
Pr: 0.0000 0.5035 0.2479
Pr: 0.0000 0.0035 0.2521
Pr: 0.0000 0.9965 0.7479
Pr: 0.5000 0.2550 0.8781
Pr: 0.5000 0.7450 0.1219
Pr: 0.5000 0.2450 0.3781
Pr: 0.5000 0.7550 0.6219
Th: 0.0000 0.0000 0.5000
Th: 0.0000 0.5000 0.0000



[18]
Crystalline Li8SiSn2 at its relaxed geometry, computed with PBE-GGA.

Calculated values
SG: C2/m
Crystal system: monoclinic
Calculated density (g/cm³): 2.81
Energy (eV per atom): -2.9027
Calculated volume (A^3/atom): 17.2

Cell lengths 4.5008, 5.6875, 7.7787 Å; angles 95.54, 106.82, 90.00 degrees
Fractional coordinates of all 11 atoms:
Li: 0.4072 0.5716 0.8144
Li: 0.6696 0.9242 0.3393
Li: 0.8609 0.8404 0.7219
Li: 0.9685 0.2393 0.9370
Li: 0.1391 0.1596 0.2781
Li: 0.3304 0.0758 0.6607
Li: 0.5928 0.4284 0.1856
Li: 0.0315 0.7607 0.0630
Si: 0.5000 0.0000 0.0000
Sn: 0.7899 0.3633 0.5798
Sn: 0.2101 0.6367 0.4202



[19]
Crystalline Y3PuRu3 at its relaxed geometry, computed with PBE-GGA.

Calculated values
Energy relative to the elements (eV per atom): -0.28
SG: R3m
Crystal system: trigonal
Calculated density (g/cm³): 8.83
Energy (eV per atom): -9.0687
Calculated volume (A^3/atom): 21.9

Cell lengths 5.7723, 6.0404, 5.7723 Å; angles 110.41, 108.51, 110.41 degrees
Last column: magnetic moment on the atom in μB.
Fractional coordinates of all 7 atoms:
Y: 0.4127 0.0030 0.0000  0.04
Y: 0.5873 0.5903 0.5873  0.04
Y: 0.0000 0.0030 0.4127  0.04
Pu: 0.0000 0.4292 0.0000  4.76
Ru: 0.4847 0.4947 0.0000  -0.27
Ru: 0.5153 0.0100 0.5153  -0.27
Ru: 0.0000 0.4947 0.4847  -0.27



[20]
Crystalline CrPdRh3 at its relaxed geometry, computed with PBE-GGA.

Calculated values
Energy relative to the elements (eV per atom): 0.89
SG: Pm-3m
Crystal system: cubic
Calculated density (g/cm³): 9.02
Energy above the most stable polymorph in this dataset (meV per atom): 0
Energy (eV per atom): -6.4792
Calculated volume (A^3/atom): 17.2

Cell lengths 4.4132, 4.4132, 4.4132 Å; angles 90.00, 90.00, 90.00 degrees
Fractional coordinates of all 5 atoms:
Cr: 0.0000 0.0000 0.0000
Rh: 0.0000 0.5000 0.0000
Rh: 0.0000 0.0000 0.5000
Rh: 0.5000 0.0000 0.0000
Pd: 0.5000 0.5000 0.5000